Entry 1:
Material: Zn2P2F
Method: DFT, PBE-GGA
State: relaxed

extended XYZ file:
```
10
Lattice="7.4445 0.0000 0.0000 0.0000 7.4445 0.0000 0.0000 0.0000 2.6841" Properties=species:S:1:pos:R:3 pbc="T T T"
Zn 1.2353 2.4869 0.0000
Zn 2.4869 6.2092 0.0000
Zn 4.9576 1.2353 0.0000
Zn 6.2092 4.9576 0.0000
P 1.0000 4.7223 1.3421
P 2.7222 1.0000 1.3421
P 4.7223 6.4445 1.3421
P 6.4445 2.7222 1.3421
F 0.0000 0.0000 0.0000
F 3.7223 3.7223 0.0000
```

Calculated values
The uncorrected formation energy comes out at -128 meV per atom. Its crystal system is tetragonal.

***

Entry 2:
Material: LiLaPb2
Method: DFT, PBE-GGA
State: relaxed

extended XYZ file:
```
4
Lattice="1.7881 1.0323 10.8609 -1.7881 1.0323 10.8609 0.0000 -2.0647 10.8609" Properties=species:S:1:pos:R:3 pbc="T T T"
Li 0.0000 0.0000 0.0000
La 0.0000 0.0000 24.7314
Pb 0.0000 0.0000 8.5476
Pb 0.0000 0.0000 16.7075
```

Calculated values
The energy relative to the elements is -0.039 eV per atom. Its crystal system is trigonal.

***

Entry 3:
Material: LaS3Br
Method: DFT, PBE-GGA
State: relaxed

extended XYZ file:
```
5
Lattice="5.6702 0.0000 0.0000 0.0000 5.6702 0.0000 0.0000 0.0000 5.6702" Properties=species:S:1:pos:R:3 pbc="T T T"
La 0.0000 0.0000 0.0000
S 0.0000 0.0000 2.8351
S 0.0000 2.8351 0.0000
S 2.8351 0.0000 0.0000
Br 2.8351 2.8351 2.8351
```

Calculated values
The uncorrected formation energy comes out at -80 meV per atom. Its crystal system is cubic.